No. 1
AlIr2Cl: optimized geometry, PBE.

Cell and atoms, written as POSCAR:
```
AlIr2Cl
1.0
-1.837 1.837 4.529
1.837 -1.837 4.529
1.837 1.837 -4.529
Al Ir Cl
1 2 1
Cartesian
0.000 0.000 0.000 Al
0.000 0.000 4.529 Ir
0.000 1.837 2.265 Ir
1.837 0.000 2.265 Cl
```

- relative energy among the computed polymorphs (eV/atom) = 0.5933
- formation energy (no corrections) (eV per formula unit) = 2.17

=====

No. 2
Ce2ErGa4Pt3: optimized geometry, PBE.

Cell and atoms, written as POSCAR:
```
Ce2ErGa4Pt3
1.0
4.199 0.000 0.000
0.000 4.199 0.000
0.000 0.000 11.731
Ce Er Ga Pt
2 1 4 3
Cartesian
0.000 2.099 2.653 Ce
2.099 0.000 9.078 Ce
0.000 0.000 5.865 Er
0.000 0.000 0.000 Ga
0.000 2.099 7.773 Ga
2.099 0.000 3.958 Ga
2.099 2.099 0.000 Ga
0.000 2.099 10.240 Pt
2.099 0.000 1.491 Pt
2.099 2.099 5.865 Pt
```

- formation enthalpy at 0 K (eV/atom) = -0.86

=====

No. 3
Tl2Pb2Se2S: optimized geometry, PBE.

Cell and atoms, written as POSCAR:
```
Tl2Pb2Se2S
1.0
7.826 -2.183 0.000
7.826 2.183 0.000
-3.403 0.000 6.940
Tl Pb Se S
2 2 2 1
Cartesian
-0.525 0.000 1.691 Tl
12.775 0.000 5.249 Tl
3.718 0.000 1.713 Pb
8.531 0.000 5.227 Pb
2.225 0.000 6.567 Se
10.024 0.000 0.372 Se
6.125 0.000 3.470 S
```

- formation energy (no corrections) (eV per formula unit) = -2.56

=====

No. 4
PrScBeZn: optimized geometry, PBE.

Cell and atoms, written as POSCAR:
```
PrScBeZn
1.0
0.000 3.473 3.473
3.473 0.000 3.473
3.473 3.473 0.000
Pr Sc Be Zn
1 1 1 1
Cartesian
0.000 0.000 0.000 Pr
3.473 3.473 3.473 Sc
1.736 1.736 1.736 Be
5.209 5.209 5.209 Zn
```

- formation enthalpy at 0 K (eV/atom) = -0.06

=====

No. 5
Tb3ErSc4: optimized geometry, PBE.

Cell and atoms, written as POSCAR:
```
Tb3ErSc4
1.0
10.789 0.000 0.000
0.000 6.953 0.000
0.000 0.000 6.006
Tb Er Sc
6 2 8
Cartesian
0.000 0.932 0.000 Tb
2.698 0.931 2.061 Tb
2.696 6.023 5.064 Tb
5.394 6.021 3.003 Tb
8.090 0.931 2.061 Tb
8.093 6.023 5.064 Tb
0.000 6.018 3.001 Er
5.394 0.936 6.004 Er
0.000 2.668 3.051 Sc
0.000 4.286 0.047 Sc
2.688 4.284 2.013 Sc
2.706 2.669 5.016 Sc
5.394 2.668 3.050 Sc
5.394 4.285 0.048 Sc
8.083 2.669 5.016 Sc
8.101 4.284 2.013 Sc
```

- formation enthalpy at 0 K (eV/atom) = 0.03

=====

No. 6
KHfIr2: optimized geometry, PBE.

Cell and atoms, written as POSCAR:
```
KHfIr2
1.0
0.000 3.344 3.344
3.344 0.000 3.344
3.344 3.344 0.000
K Hf Ir
1 1 2
Cartesian
0.000 0.000 0.000 K
3.344 3.344 3.344 Hf
1.672 1.672 1.672 Ir
5.016 5.016 5.016 Ir
```

- relative energy among the computed polymorphs (eV/atom) = 0.0000
- formation enthalpy at 0 K (eV/atom) = 0.33

=====

No. 7
BaNbSe2: optimized geometry, PBE.

Cell and atoms, written as POSCAR:
```
BaNbSe2
1.0
0.000 3.613 3.613
3.613 0.000 3.613
3.613 3.613 0.000
Ba Nb Se
1 1 2
Cartesian
0.000 0.000 0.000 Ba
3.613 3.613 3.613 Nb
1.806 1.806 1.806 Se
5.419 5.419 5.419 Se
```

- relative energy among the computed polymorphs (eV/atom) = 0.3169
- formation energy (no corrections) (eV per formula unit) = -2.25

=====

No. 8
Nd3Ga2Ru3: optimized geometry, PBE.

Cell and atoms, written as POSCAR:
```
Nd3Ga2Ru3
1.0
7.641 0.000 0.000
0.000 15.090 0.000
0.000 0.000 5.942
Nd Ga Ru
12 8 12
Cartesian
0.266 1.596 0.880 Nd
0.266 5.949 0.880 Nd
1.424 3.772 3.591 Nd
2.396 11.317 0.620 Nd
3.555 9.141 3.850 Nd
3.555 13.494 3.850 Nd
4.086 1.596 2.091 Nd
4.086 5.949 2.091 Nd
5.245 3.772 5.321 Nd
6.217 11.317 2.351 Nd
7.376 9.141 5.062 Nd
7.376 13.494 5.062 Nd
0.812 9.114 2.154 Ga
0.812 13.520 2.154 Ga
3.009 1.570 5.125 Ga
3.009 5.975 5.125 Ga
4.633 9.114 0.817 Ga
4.633 13.520 0.817 Ga
6.829 1.570 3.787 Ga
6.829 5.975 3.787 Ga
1.289 11.317 3.459 Ru
1.449 0.470 3.520 Ru
1.449 7.075 3.520 Ru
2.372 8.015 0.549 Ru
2.372 14.619 0.549 Ru
2.531 3.772 0.488 Ru
5.110 11.317 5.454 Ru
5.269 0.470 5.393 Ru
5.269 7.075 5.393 Ru
6.193 8.015 2.422 Ru
6.193 14.619 2.422 Ru
6.352 3.772 2.483 Ru
```

- formation enthalpy at 0 K (eV/atom) = -0.35

=====

No. 9
CsCu2PtF8: optimized geometry, PBE.

Cell and atoms, written as POSCAR:
```
CsCu2PtF8
1.0
2.915 1.683 8.438
-2.915 1.683 8.438
0.000 -3.365 8.438
Cs Cu Pt F
1 2 1 8
Cartesian
0.000 0.000 0.000 Cs
0.000 0.000 6.298 Cu
0.000 0.000 19.015 Cu
0.000 0.000 12.656 Pt
-1.385 -0.800 11.437 F
0.000 0.000 8.122 F
0.000 -1.599 13.875 F
-1.385 0.800 13.875 F
1.385 -0.800 11.437 F
0.000 1.599 11.437 F
0.000 0.000 17.191 F
1.385 0.800 13.875 F
```

- formation energy (no corrections) (eV per formula unit) = -18.70

=====

No. 10
SrCl: optimized geometry, PBE.

Cell and atoms, written as POSCAR:
```
SrCl
1.0
4.975 0.000 0.000
-2.487 4.308 0.000
0.000 0.000 13.977
Sr Cl
4 4
Cartesian
0.000 2.872 1.757 Sr
0.000 2.872 5.232 Sr
2.487 1.436 8.745 Sr
2.487 1.436 12.220 Sr
0.000 0.000 3.494 Cl
0.000 0.000 10.483 Cl
0.000 2.872 10.483 Cl
2.487 1.436 3.494 Cl
```

- formation energy (no corrections) (eV per formula unit) = -2.51

=====

No. 11
Ce4CNF2: optimized geometry, PBE.

Cell and atoms, written as POSCAR:
```
Ce4CNF2
1.0
6.212 0.000 0.000
0.000 3.599 0.000
-2.082 0.000 5.968
Ce C N F
4 1 1 2
Cartesian
1.019 0.000 1.376 Ce
-0.024 1.800 4.578 Ce
4.153 1.800 1.390 Ce
3.111 0.000 4.592 Ce
3.106 0.000 0.000 C
0.000 1.800 0.000 N
-1.041 0.000 2.984 F
2.065 1.800 2.984 F
```

- formation energy (no corrections) (eV per formula unit) = -14.17

=====

No. 12
Cu3Ni2Rh: optimized geometry, PBE.

Cell and atoms, written as POSCAR:
```
Cu3Ni2Rh
1.0
6.762 0.000 0.000
0.000 6.762 0.000
0.000 0.000 6.762
Cu Ni Rh
12 8 4
Cartesian
0.750 2.440 0.845 Cu
0.845 0.750 2.440 Cu
0.940 5.917 4.131 Cu
2.440 0.845 0.750 Cu
2.536 6.012 5.821 Cu
2.631 4.321 4.226 Cu
4.131 0.940 5.917 Cu
4.226 2.631 4.321 Cu
4.321 4.226 2.631 Cu
5.821 2.536 6.012 Cu
5.917 4.131 0.940 Cu
6.012 5.821 2.536 Cu
0.084 3.296 3.465 Ni
1.606 1.775 4.987 Ni
1.775 4.987 1.606 Ni
3.296 3.465 0.084 Ni
3.465 0.084 3.296 Ni
4.987 1.606 1.775 Ni
5.156 5.156 5.156 Ni
6.677 6.677 6.677 Ni
0.845 4.226 5.917 Rh
2.536 2.536 2.536 Rh
4.226 5.917 0.845 Rh
5.917 0.845 4.226 Rh
```

- relative energy among the computed polymorphs (eV/atom) = 0.2255
- formation enthalpy at 0 K (eV/atom) = 0.30

=====

No. 13
ErPuPt3: optimized geometry, PBE.

Cell and atoms, written as POSCAR:
```
ErPuPt3
1.0
4.456 0.000 0.000
0.000 5.545 0.000
-2.226 0.000 8.392
Er Pu Pt
2 2 6
Cartesian
0.002 1.386 2.793 Er
2.228 4.159 5.599 Er
0.001 1.386 6.507 Pu
2.229 4.159 1.885 Pu
0.000 0.000 0.000 Pt
0.000 2.773 0.000 Pt
0.000 4.159 3.793 Pt
0.001 4.159 7.412 Pt
2.229 1.386 0.980 Pt
2.230 1.386 4.599 Pt
```

- formation enthalpy at 0 K (eV/atom) = -0.94

=====

No. 14
NaPAuBr2: optimized geometry, PBE.

Cell and atoms, written as POSCAR:
```
NaPAuBr2
1.0
5.357 0.000 0.000
0.000 5.357 0.000
0.000 0.000 5.771
Na P Au Br
1 1 1 2
Cartesian
0.000 0.000 0.000 Na
2.679 2.679 0.000 P
0.000 0.000 2.886 Au
0.000 2.679 2.886 Br
2.679 0.000 2.886 Br
```

- formation energy (no corrections) (eV per formula unit) = 1.59

=====

No. 15
TaCrCo2: optimized geometry, PBE.

Cell and atoms, written as POSCAR:
```
TaCrCo2
1.0
-1.835 1.835 8.221
1.835 -1.835 8.221
1.835 1.835 -8.221
Ta Cr Co
2 2 4
Cartesian
0.000 0.000 0.000 Ta
0.000 1.835 4.110 Ta
1.835 0.000 4.110 Cr
0.000 0.000 8.221 Cr
0.917 -0.812 6.166 Co
1.022 0.917 2.055 Co
0.917 2.647 -2.055 Co
0.812 0.917 10.276 Co
```

- relative energy among the computed polymorphs (eV/atom) = 0.6336
- formation enthalpy at 0 K (eV/atom) = 0.59

=====

No. 16
CdCuRe: optimized geometry, PBE.

Cell and atoms, written as POSCAR:
```
CdCuRe
1.0
2.788 0.000 0.000
-1.394 2.415 0.000
0.000 0.000 6.977
Cd Cu Re
1 1 1
Cartesian
0.000 0.000 0.000 Cd
0.000 1.610 2.339 Cu
1.394 0.805 4.446 Re
```

- relative energy among the computed polymorphs (eV/atom) = 0.0000
- formation enthalpy at 0 K (eV/atom) = 0.39

=====

No. 17
Na8TlPd2: optimized geometry, PBE.

Cell and atoms, written as POSCAR:
```
Na8TlPd2
1.0
4.457 -6.662 0.000
4.457 6.662 0.000
-1.336 0.000 5.306
Na Tl Pd
8 1 2
Cartesian
0.944 1.767 3.097 Na
4.457 3.363 0.000 Na
0.944 -1.767 3.097 Na
3.143 0.000 1.063 Na
4.434 0.000 4.242 Na
6.633 1.767 2.209 Na
4.457 -3.363 0.000 Na
6.633 -1.767 2.209 Na
0.000 0.000 0.000 Tl
3.789 2.405 2.653 Pd
3.789 -2.405 2.653 Pd
```

- formation enthalpy at 0 K (eV/atom) = -0.03

=====

No. 18
HfGa3Sb: optimized geometry, PBE.

Cell and atoms, written as POSCAR:
```
HfGa3Sb
1.0
5.149 0.000 0.000
0.000 5.149 0.000
0.000 0.000 5.149
Hf Ga Sb
1 3 1
Cartesian
0.000 0.000 0.000 Hf
0.000 2.575 2.575 Ga
2.575 0.000 2.575 Ga
2.575 2.575 0.000 Ga
2.575 2.575 2.575 Sb
```

- relative energy among the computed polymorphs (eV/atom) = 0.3623
- formation energy (no corrections) (eV per formula unit) = 4.88

=====

No. 19
SrSmRh2: optimized geometry, PBE.

Cell and atoms, written as POSCAR:
```
SrSmRh2
1.0
3.540 0.000 0.000
0.000 3.540 0.000
0.000 0.000 7.227
Sr Sm Rh
1 1 2
Cartesian
0.000 0.000 0.000 Sr
0.000 0.000 3.614 Sm
1.770 1.770 2.029 Rh
1.770 1.770 5.198 Rh
```

- relative energy among the computed polymorphs (eV/atom) = 0.0000
- formation enthalpy at 0 K (eV/atom) = -0.45

=====

No. 20
ZnAg12Au6: optimized geometry, PBE.

Cell and atoms, written as POSCAR:
```
ZnAg12Au6
1.0
5.702 3.292 3.117
-5.702 3.292 3.117
0.000 -6.584 3.117
Zn Ag Au
1 12 6
Cartesian
0.000 0.000 0.000 Zn
-1.503 -3.981 3.117 Ag
-4.199 0.689 3.117 Ag
-2.236 -1.291 4.247 Ag
1.503 -3.981 3.117 Ag
-2.696 3.292 3.117 Ag
0.000 -2.582 5.103 Ag
-2.236 1.291 5.103 Ag
2.236 -1.291 4.247 Ag
0.000 2.582 4.247 Ag
4.199 0.689 3.117 Ag
2.696 3.292 3.117 Ag
2.236 1.291 5.103 Ag
0.000 -1.651 2.292 Au
-1.430 0.826 2.292 Au
1.430 0.826 2.292 Au
-1.430 -0.826 7.058 Au
1.430 -0.826 7.058 Au
0.000 1.651 7.058 Au
```

- relative energy among the computed polymorphs (eV/atom) = 0.0316
- formation enthalpy at 0 K (eV/atom) = 0.03